Material: Hf2ZrTl2
Method: DFT, GGA-PBE
State: relaxed

Results
**E_tot**: -6.558 eV/atom
**Energy relative to the lowest polymorph listed for this composition**: 0.000 eV per atom
**Crystal system**: monoclinic
**Formation enthalpy at 0 K**: 1.83 kcal/mol of atoms

Cell: 5.8945 5.0650 8.0332 Å, 90.00 108.12 90.00°
Last column: nearest neighbours and their distance in Å.
Space group P2_1/m (No. 11)
One atom of each set of equivalent atoms:
Hf  0.0580  0.2500  0.3770 (multiplicity 2)  7 Tl 3.03-3.38, 1 Hf 3.03, 2 Zr 3.20-3.32
Hf  0.1510  0.7500  0.0187 (multiplicity 2)  4 Tl 2.98-3.22, 3 Hf 3.03-3.06, 3 Zr 3.21-3.22
Zr  0.4697  0.2500  0.1954 (multiplicity 2)  6 Tl 3.03-3.25, 5 Hf 3.20-3.32
Tl  0.2407  0.2500  0.7995 (multiplicity 2)  3 Zr 3.04-3.05, 6 Hf 3.09-3.23, 2 Tl 3.33-3.36
Tl  0.3503  0.7500  0.4081 (multiplicity 2)  3 Hf 2.98-3.03, 3 Zr 3.03-3.25, 3 Tl 3.18-3.33

---

Material: TbVRuRh
Method: DFT, GGA-PBE
State: relaxed

Results
**E_tot**: -7.818 eV/atom
**Crystal system**: cubic
**Formation enthalpy at 0 K**: -5.16 kcal/mol of atoms

Cell: 6.4656 6.4656 6.4656 Å, 90.00 90.00 90.00°
Last column: nearest neighbours and their distance in Å.
Space group F-43m (No. 216)
One atom of each set of equivalent atoms:
Tb  0.0000  0.0000  0.0000 (multiplicity 4)  4 Ru 2.80, 4 Rh 2.80
V  0.0000  0.0000  0.5000 (multiplicity 4)  4 Ru 2.80, 4 Rh 2.80
Ru  0.2500  0.2500  0.7500 (multiplicity 4)  4 Tb 2.80, 4 V 2.80
Rh  0.2500  0.2500  0.2500 (multiplicity 4)  4 Tb 2.80, 4 V 2.80